Entry from Alexandria: an optimized crystal structure of AgWSeBr2 (PBE).

Output
total magnetization = 2.00 μB per formula unit
formation energy (no corrections) = 0.388 eV per atom
energy above the most stable polymorph in this dataset = 0.000 eV/atom

Cell: 5.306 5.306 4.835 Å, 90.00 90.00 90.00°
Element x y z (fractional)
W 0.000 0.000 0.000
Br 0.000 0.500 0.000
Ag 0.500 0.500 0.500
Br 0.500 0.000 0.000
Se 0.000 0.000 0.500